A plane-wave DFT calculation with meta-GGA SCAN was carried out for a crystal of SrTaTc2 relaxed with PBEsol.

```
SrTaTc2
1.0
3.139 0.000 0.000
-1.570 4.942 -0.007
0.000 -1.467 5.399
Sr Tc Ta
1 2 1
Direct
0.493 0.987 0.491
0.005 0.010 0.007
0.710 0.421 0.143
0.291 0.582 0.858
```

Excess energy over the best structure of this formula in the dataset (kJ/mol of atoms): 16.6
E_tot (eV for the cell shown): -156.90
SG: No. 8
Spin magnetization (μB per formula unit): 0.000
Mass density (Mg/m³): 9.2